# 1
# Er2Tm2Lu3Ni2Te2 (PBE-GGA, optimized geometry)
# Theoretical density, Mg/m³: 9.4
# Magnetic moment, Bohr magnetons per cell: 0.04
# E above lowest polymorph, eV per atom: 0.000
data_Er2Tm2Lu3Ni2Te2
_chemical_formula_sum 'Er4 Tm4 Lu6 Ni4 Te4'
_space_group_name_H-M_alt 'I m m 2'
_space_group_IT_number 44
_cell_length_a 3.821
_cell_length_b 15.368
_cell_length_c 9.459
_cell_angle_alpha 90.00
_cell_angle_beta 90.00
_cell_angle_gamma 90.00
loop_
_space_group_symop_operation_xyz
'x,y,z'
'-x,-y,z'
'-x,y,z'
'x,-y,z'
'x+1/2,y+1/2,z+1/2'
'-x+1/2,-y+1/2,z+1/2'
'-x+1/2,y+1/2,z+1/2'
'x+1/2,-y+1/2,z+1/2'
loop_
_atom_site_label
_atom_site_fract_x
_atom_site_fract_y
_atom_site_fract_z
Er1 0.000 0.135 0.000
Tm1 0.000 0.354 0.853
Lu1 0.000 0.000 0.582
Lu2 0.000 0.315 0.205
Ni1 0.000 0.236 0.513
Te1 0.000 0.000 0.244
Te2 0.000 0.500 0.348

# 2
# Gd2HoMg3ZnIn2 (PBE-GGA, optimized geometry)
# Theoretical density, Mg/m³: 6.3
# Magnetic moment, Bohr magnetons per cell: 0.00
data_Gd2HoMg3ZnIn2
_chemical_formula_sum 'Gd4 Ho2 Mg6 Zn2 In4'
_space_group_name_H-M_alt 'A m m 2'
_space_group_IT_number 38
_cell_length_a 4.589
_cell_length_b 12.909
_cell_length_c 7.520
_cell_angle_alpha 90.00
_cell_angle_beta 90.00
_cell_angle_gamma 90.00
loop_
_space_group_symop_operation_xyz
'x,y,z'
'-x,-y,z'
'-x,y,z'
'x,-y,z'
'x,y+1/2,z+1/2'
'-x,-y+1/2,z+1/2'
'-x,y+1/2,z+1/2'
'x,-y+1/2,z+1/2'
loop_
_atom_site_label
_atom_site_fract_x
_atom_site_fract_y
_atom_site_fract_z
Gd1 0.000 0.207 0.000
Ho1 0.000 0.000 0.379
Mg1 0.500 0.000 0.027
Mg2 0.500 0.118 0.674
Zn1 0.000 0.000 0.789
In1 0.500 0.165 0.293

# 3
# BeFeTcAg (PBE-GGA, optimized geometry)
# Theoretical density, Mg/m³: 9.0
# Magnetic moment, Bohr magnetons per cell: 1.60
# E above lowest polymorph, eV per atom: 0.000
data_BeFeTcAg
_chemical_formula_sum 'Be4 Fe4 Tc4 Ag4'
_space_group_name_H-M_alt 'F -4 3 m'
_space_group_IT_number 216
_space_group_name_Hall 'F -4 2 3'
_cell_length_a 5.853
_cell_length_b 5.853
_cell_length_c 5.853
_cell_angle_alpha 90.00
_cell_angle_beta 90.00
_cell_angle_gamma 90.00
loop_
_atom_site_label
_atom_site_fract_x
_atom_site_fract_y
_atom_site_fract_z
Be1 0.000 0.000 0.000
Fe1 0.000 0.000 0.500
Tc1 0.250 0.250 0.250
Ag1 0.250 0.250 0.750

# 4
# RbZrTa (PBE-GGA, optimized geometry)
# Theoretical density, Mg/m³: 6.3
# Magnetic moment, Bohr magnetons per cell: 8.15
# E above lowest polymorph, eV per atom: 0.000
data_RbZrTa
_chemical_formula_sum 'Rb4 Zr4 Ta4'
_space_group_name_H-M_alt 'F -4 3 m'
_space_group_IT_number 216
_space_group_name_Hall 'F -4 2 3'
_cell_length_a 7.210
_cell_length_b 7.210
_cell_length_c 7.210
_cell_angle_alpha 90.00
_cell_angle_beta 90.00
_cell_angle_gamma 90.00
loop_
_atom_site_label
_atom_site_fract_x
_atom_site_fract_y
_atom_site_fract_z
Rb1 0.000 0.000 0.000
Zr1 0.000 0.000 0.500
Ta1 0.250 0.250 0.250

# 5
# NaGeTe4Au3 (PBE-GGA, optimized geometry)
# Theoretical density, Mg/m³: 6.9
# E above lowest polymorph, eV per atom: 0.084
data_NaGeTe4Au3
_chemical_formula_sum 'Na1 Ge1 Te4 Au3'
_space_group_name_H-M_alt 'P -4 3 m'
_space_group_IT_number 215
_space_group_name_Hall 'P -4 2 3'
_cell_length_a 6.607
_cell_length_b 6.607
_cell_length_c 6.607
_cell_angle_alpha 90.00
_cell_angle_beta 90.00
_cell_angle_gamma 90.00
loop_
_atom_site_label
_atom_site_fract_x
_atom_site_fract_y
_atom_site_fract_z
Na1 0.000 0.000 0.000
Ge1 0.500 0.500 0.500
Te1 0.258 0.258 0.258
Au1 0.000 0.500 0.500

# 6
# Tb3Sb4Au3 (PBE-GGA, optimized geometry)
# Theoretical density, Mg/m³: 10.6
# Magnetic moment, Bohr magnetons per cell: 0.01
data_Tb3Sb4Au3
_chemical_formula_sum 'Tb12 Sb16 Au12'
_space_group_name_H-M_alt 'I -4 3 d'
_space_group_IT_number 220
_space_group_name_Hall 'I -4bd 2c 3'
_cell_length_a 9.922
_cell_length_b 9.922
_cell_length_c 9.922
_cell_angle_alpha 90.00
_cell_angle_beta 90.00
_cell_angle_gamma 90.00
loop_
_atom_site_label
_atom_site_fract_x
_atom_site_fract_y
_atom_site_fract_z
Tb1 0.000 0.250 0.875
Sb1 0.089 0.411 0.589
Au1 0.000 0.250 0.375

What are the energy values for these records? In order: -5.138; -3.176; -5.969; -4.963; -3.190; -4.851 eV/atom.